# Ta2CrW meta-GGA SCAN single point on PBEsol structure
data_Ta2CrW
_symmetry_space_group_name_H-M 'P 1'
_symmetry_Int_Tables_number 1
_cell_length_a 3.134
_cell_length_b 4.440
_cell_length_c 5.226
_cell_angle_alpha 115.14
_cell_angle_beta 107.45
_cell_angle_gamma 90.00
loop_
_symmetry_equiv_pos_as_xyz
'x,y,z'
loop_
_atom_site_label
_atom_site_type_symbol
_atom_site_fract_x
_atom_site_fract_y
_atom_site_fract_z
Cr1 Cr 0.245 0.245 0.490
W1 W 0.510 0.010 0.020
Ta1 Ta 0.991 0.491 0.982
Ta2 Ta 0.754 0.754 0.508
# DFT total energy   -221.4 eV per cell
# N(E_F)   2.8 states/eV/cell
# Space-group type   Imm2 (44)
# Theoretical density   15.98 g/cm³
# ΔH_f (0 K)   -0.1 eV per formula unit